ZrSi2Rh: relaxed, GGA-PBE.

It has space group R-3m (No. 166, hexagonal axes), with a = 2.9810 Å, b = 2.9810 Å, c = 24.9817 Å, α = 90.00°, β = 90.00° and γ = 120.00°. Symmetry generates all atoms from Zr at (0.0000, 0.0000, 0.0000), Si at (0.0000, 0.0000, 0.2401) and Rh at (0.0000, 0.0000, 0.5000).

For the formation energy without anion corrections, the calculation gives -0.382 eV per atom.